DFT (GGA-PBE) results for a relaxed ZrScTe crystal.

```
3
Lattice="0.000 3.354 3.354 3.354 0.000 3.354 3.354 3.354 0.000" Properties=species:S:1:pos:R:3 pbc="T T T"
Zr 0.000 0.000 0.000
Sc 3.354 3.354 3.354
Te 1.677 1.677 1.677
```

Values from the calculation:
**Space-group type**: F-43m, No. 216
**Theoretical density**: 5804 kg/m3
**Fermi-level density of states**: 2.97 states/eV/cell
**Energy above the most stable polymorph in this dataset**: 0.4104 eV/atom
**E**: -19.0 eV per cell